DFT (GGA-PBE) results for an optimized crystal structure of La3Tl2Zn.

Output
Symmetry: Cmmm (65)

Lattice parameters (Å, degrees): 8.7866 8.7866 3.8987 90.00 90.00 143.06
Fractional positions:
La 0.0000 0.0000 0.0000
La 0.3409 0.6591 0.0000
La 0.6591 0.3409 0.0000
Tl 0.1673 0.8327 0.5000
Tl 0.8327 0.1673 0.5000
Zn 0.5000 0.5000 0.5000

DFT (GGA-PBE) results for an optimized crystal structure of LiYHo.

Output
Symmetry: P3m1 (156)

Lattice parameters (Å, degrees): 3.4714 3.4714 8.3164 90.00 90.00 120.00
Fractional positions:
Li 0.0000 0.0000 0.0000
Y 0.3333 0.6667 0.6686
Ho 0.6667 0.3333 0.3289

Going through the records in order, we get excess energy over the best structure of this formula in the dataset values of 22.8; 31.3 meV/atom.
Going through the records in order, we get ΔH_f (0 K) values of -371; 118 meV per atom.